[1]
Density functional theory data (PBE) for crystalline PuBrClO5 at its relaxed geometry.

## Properties
crystal system: monoclinic
total energy: -6.35 eV per atom
density of states at the Fermi level: 3.0 states/eV/f.u.
V: 21.7 Å³ per atom

abc: 9.0472 9.6416 8.0212
angles: 90.00 96.84 90.00
Closest atoms and distances in Å follow each position.
Space group C2/c (No. 15)
Unique sites:
Pu 0.0000 0.0000 0.0000 (multiplicity 4)  2 O 1.78
Br 0.0000 0.3195 0.2500 (multiplicity 4)  2 O 1.75
Cl 0.0000 0.4174 0.7500 (multiplicity 4)  1 Br 2.54
O 0.0000 0.0558 0.7500 (multiplicity 4)  2 Pu 2.08
O 0.0847 0.2141 0.1109 (multiplicity 8)  1 Br 1.75
O 0.1843 0.0642 0.5030 (multiplicity 8)  1 Pu 1.78

[2]
Density functional theory data (PBE) for crystalline ZrBe3Ge at its relaxed geometry.

## Properties
crystal system: cubic
total energy: -4.22 eV per atom
excess energy over the best structure of this formula in the dataset: 0.00 eV per formula unit
formation energy: 0.653 eV per atom
density of states at the Fermi level: 1.2 states/eV/f.u.
V: 14.8 Å³ per atom

abc: 4.2000 4.2000 4.2000
angles: 90.00 90.00 90.00
Closest atoms and distances in Å follow each position.
Space group Pm-3m (No. 221)
Unique sites:
Zr 0.0000 0.0000 0.0000 (multiplicity 1)  12 Be 2.97
Be 0.0000 0.5000 0.5000 (multiplicity 3)  2 Ge 2.10
Ge 0.5000 0.5000 0.5000 (multiplicity 1)  6 Be 2.10

[3]
Density functional theory data (PBE) for crystalline PrSmSbAu at its relaxed geometry.

## Properties
crystal system: cubic
total energy: -5.03 eV per atom
density of states at the Fermi level: 4.6 states/eV/f.u.
V: 27.2 Å³ per atom

abc: 7.5806 7.5806 7.5806
angles: 90.00 90.00 90.00
Closest atoms and distances in Å follow each position.
Space group F-43m (No. 216)
Unique sites:
Pr 0.0000 0.0000 0.0000 (multiplicity 4)  4 Au 3.28, 4 Sb 3.28
Sm 0.0000 0.0000 0.5000 (multiplicity 4)  4 Sb 3.28, 4 Au 3.28
Sb 0.2500 0.2500 0.2500 (multiplicity 4)  4 Pr 3.28, 4 Sm 3.28
Au 0.2500 0.2500 0.7500 (multiplicity 4)  4 Sm 3.28, 4 Pr 3.28

[4]
Density functional theory data (PBE) for crystalline Np6CrSb10 at its relaxed geometry.

## Properties
crystal system: trigonal
total energy: -7.80 eV per atom
density of states at the Fermi level: 45.6 states/eV/f.u.
V: 25.3 Å³ per atom

abc: 9.0438 9.0438 6.0606
angles: 90.00 90.00 120.00
Closest atoms and distances in Å follow each position.
Space group P-31m (No. 162)
Unique sites:
Np 0.0000 0.3897 0.2506 (multiplicity 6)  9 Sb 3.09-3.33
Cr 0.0000 0.0000 0.5000 (multiplicity 1)  6 Sb 2.73
Sb 0.0000 0.2475 0.7576 (multiplicity 6)  1 Cr 2.73
Sb 0.3333 0.6667 0.0000 (multiplicity 2)  2 Sb 3.03, 6 Np 3.18
Sb 0.3333 0.6667 0.5000 (multiplicity 2)  2 Sb 3.03, 6 Np 3.18

[5]
Density functional theory data (PBE) for crystalline KSr2Cd2Ge2 at its relaxed geometry.

## Properties
crystal system: trigonal
total energy: -2.49 eV per atom
formation energy: -0.271 eV per atom
density of states at the Fermi level: 2.2 states/eV/f.u.
V: 31.7 Å³ per atom

abc: 4.8917 4.8917 32.1697
angles: 90.00 90.00 120.00
Closest atoms and distances in Å follow each position.
Space group R-3m (No. 166, hexagonal axes)
Unique sites:
K 0.0000 0.0000 0.0000 (multiplicity 3)  6 Cd 3.75, 6 Ge 3.95, 2 Sr 4.17
Sr 0.0000 0.0000 0.1297 (multiplicity 6)  3 Ge 3.16, 3 Cd 3.30
Cd 0.0000 0.0000 0.4099 (multiplicity 6)  3 Ge 2.84
Ge 0.0000 0.0000 0.2477 (multiplicity 6)  3 Cd 2.84, 3 Sr 3.16

[6]
Density functional theory data (PBE) for crystalline SrI3 at its relaxed geometry.

## Properties
crystal system: tetragonal
total energy: -2.64 eV per atom
density of states at the Fermi level: 1.5 states/eV/f.u.
V: 44.2 Å³ per atom

abc: 10.4907 10.4907 6.4204
angles: 90.00 90.00 90.00
Closest atoms and distances in Å follow each position.
Space group I-42d (No. 122)
Unique sites:
Sr 0.0000 0.0000 0.0000 (multiplicity 4)  6 I 3.21-3.53
I 0.0000 0.0000 0.5000 (multiplicity 4)  2 Sr 3.21
I 0.2117 0.7500 0.1250 (multiplicity 8)  2 I 3.31, 2 Sr 3.53

[7]
Density functional theory data (PBE) for crystalline Nd5Ho3Bi8 at its relaxed geometry.

## Properties
crystal system: trigonal
total energy: -5.19 eV per atom
formation energy: -0.902 eV per atom
density of states at the Fermi level: 2.7 states/eV/f.u.
V: 33.4 Å³ per atom

abc: 9.1135 9.1135 22.3061
angles: 90.00 90.00 120.00
Closest atoms and distances in Å follow each position.
Space group R-3m (No. 166, hexagonal axes)
Unique sites:
Nd 0.0000 0.0000 0.0000 (multiplicity 3)  6 Bi 3.22
Nd 0.0000 0.0000 0.5000 (multiplicity 3)  6 Bi 3.22
Nd 0.0000 0.5000 0.0000 (multiplicity 9)  6 Bi 3.26
Ho 0.0000 0.5000 0.5000 (multiplicity 9)  6 Bi 3.18
Bi 0.0000 0.0000 0.2467 (multiplicity 6)  3 Ho 3.18, 3 Nd 3.26
Bi 0.0044 0.5022 0.7522 (multiplicity 18)  2 Ho 3.18, 4 Nd 3.22-3.26

[8]
Density functional theory data (PBE) for crystalline La6PmNd5 at its relaxed geometry.

## Properties
crystal system: monoclinic
total energy: -4.84 eV per atom
excess energy over the best structure of this formula in the dataset: 0.00 eV per formula unit
formation energy: 0.009 eV per atom
density of states at the Fermi level: 20.7 states/eV/f.u.
V: 35.9 Å³ per atom

abc: 12.2302 11.1210 6.4391
angles: 90.00 99.98 90.00
Closest atoms and distances in Å follow each position.
Space group C2/m (No. 12)
Unique sites:
La 0.2503 0.0000 0.2493 (multiplicity 4)  1 Pm 3.69, 5 Nd 3.69-3.70, 6 La 3.71-3.72
La 0.2502 0.1666 0.7500 (multiplicity 8)  5 Nd 3.69-3.70, 1 Pm 3.69, 6 La 3.70-3.72
Pm 0.0000 0.5000 0.0000 (multiplicity 2)  6 La 3.69, 6 Nd 3.70-3.71
Nd 0.0000 0.0000 0.5000 (multiplicity 2)  6 La 3.70, 6 Nd 3.71-3.72
Nd 0.0000 0.1670 0.0000 (multiplicity 4)  6 La 3.69-3.70, 1 Pm 3.70, 5 Nd 3.71-3.72
Nd 0.0000 0.3336 0.5000 (multiplicity 4)  6 La 3.69-3.70, 4 Nd 3.70-3.72, 2 Pm 3.71

[9]
Density functional theory data (PBE) for crystalline LiPmIn2Cl6 at its relaxed geometry.

## Properties
crystal system: monoclinic
total energy: -3.92 eV per atom
density of states at the Fermi level: 0.0 states/eV/f.u.
V: 28.5 Å³ per atom

abc: 7.2964 7.5224 12.6678
angles: 90.00 124.86 90.00
Closest atoms and distances in Å follow each position.
Space group P2_1/c (No. 14)
Unique sites:
Li 0.0000 0.0000 0.0000 (multiplicity 2)  6 Cl 2.61-2.67
Pm 0.5000 0.0000 0.5000 (multiplicity 2)  6 Cl 2.73
In 0.2316 0.0627 0.7449 (multiplicity 4)  7 Cl 3.22-3.53
Cl 0.1592 0.2059 0.4614 (multiplicity 4)  1 Li 2.67, 1 Pm 2.73
Cl 0.2530 0.7032 0.4593 (multiplicity 4)  1 Li 2.66, 1 Pm 2.73
Cl 0.3240 0.0163 0.2439 (multiplicity 4)  1 Li 2.61, 1 Pm 2.73

[10]
Density functional theory data (PBE) for crystalline Th4HgPd15 at its relaxed geometry.

## Properties
crystal system: tetragonal
total energy: -6.20 eV per atom
formation energy: -0.810 eV per atom
density of states at the Fermi level: 2.9 states/eV/f.u.
V: 18.4 Å³ per atom

abc: 4.2090 4.2090 20.7511
angles: 90.00 90.00 90.00
Closest atoms and distances in Å follow each position.
Space group P4/mmm (No. 123)
Unique sites:
Th 0.0000 0.0000 0.1029 (multiplicity 2)  12 Pd 2.94-3.00
Th 0.0000 0.0000 0.3097 (multiplicity 2)  12 Pd 2.86-3.08
Hg 0.0000 0.0000 0.5000 (multiplicity 1)  12 Pd 2.91-2.98
Pd 0.0000 0.5000 0.0000 (multiplicity 2)  8 Pd 2.95-2.98, 4 Th 3.00
Pd 0.0000 0.5000 0.2016 (multiplicity 4)  4 Th 2.94-3.08, 8 Pd 2.96-2.98
Pd 0.0000 0.5000 0.4029 (multiplicity 4)  2 Th 2.86, 2 Hg 2.91, 8 Pd 2.91-2.98
Pd 0.5000 0.5000 0.0999 (multiplicity 2)  8 Pd 2.95-2.98, 4 Th 2.98
Pd 0.5000 0.5000 0.3016 (multiplicity 2)  8 Pd 2.96-2.98, 4 Th 2.98
Pd 0.5000 0.5000 0.5000 (multiplicity 1)  8 Pd 2.91, 4 Hg 2.98

[11]
Density functional theory data (PBE) for crystalline Mg2NiOs at its relaxed geometry.

## Properties
crystal system: trigonal
total energy: -4.87 eV per atom
excess energy over the best structure of this formula in the dataset: 0.52 eV per formula unit
formation energy: 0.179 eV per atom
density of states at the Fermi level: 1.0 states/eV/f.u.
V: 15.6 Å³ per atom

abc: 2.8177 2.8177 27.2453
angles: 90.00 90.00 120.00
Closest atoms and distances in Å follow each position.
Space group R3m (No. 160, hexagonal axes)
Unique sites:
Mg 0.0000 0.0000 0.0000 (multiplicity 3)  3 Ni 2.68, 6 Mg 2.82
Mg 0.0000 0.0000 0.2338 (multiplicity 3)  3 Os 2.81, 6 Mg 2.82
Ni 0.0000 0.0000 0.7448 (multiplicity 3)  3 Os 2.54, 3 Mg 2.68, 6 Ni 2.82
Os 0.0000 0.0000 0.4829 (multiplicity 3)  3 Ni 2.54, 3 Mg 2.81, 6 Os 2.82

[12]
Density functional theory data (PBE) for crystalline LiZrTe4 at its relaxed geometry.

## Properties
crystal system: cubic
total energy: -3.41 eV per atom
excess energy over the best structure of this formula in the dataset: 6.01 eV per formula unit
density of states at the Fermi level: 6.1 states/eV/f.u.
V: 29.8 Å³ per atom

abc: 8.9441 8.9441 8.9441
angles: 90.00 90.00 90.00
Closest atoms and distances in Å follow each position.
Space group F-43m (No. 216)
Unique sites:
Li 0.0000 0.0000 0.0000 (multiplicity 4)  12 Te 3.71, 4 Zr 3.87
Zr 0.2500 0.2500 0.2500 (multiplicity 4)  12 Te 3.71, 4 Li 3.87
Te 0.1246 0.1246 0.6246 (multiplicity 16)  6 Te 3.15-3.17

[13]
Density functional theory data (PBE) for crystalline KMgCr2 at its relaxed geometry.

## Properties
crystal system: orthorhombic
total energy: -4.54 eV per atom
formation energy: 0.943 eV per atom
density of states at the Fermi level: 2.1 states/eV/f.u.
V: 26.2 Å³ per atom

abc: 3.3433 3.4454 9.0893
angles: 90.00 90.00 90.00
Closest atoms and distances in Å follow each position.
Space group Pmmm (No. 47)
Unique sites:
K 0.0000 0.0000 0.0000 (multiplicity 1)  4 K 3.34-3.45, 8 Cr 3.74
Mg 0.0000 0.0000 0.5000 (multiplicity 1)  8 Cr 2.93
Cr 0.5000 0.5000 0.3153 (multiplicity 2)  4 Mg 2.93

[14]
Density functional theory data (PBE) for crystalline TiPdSe3 at its relaxed geometry.

## Properties
crystal system: cubic
total energy: -4.75 eV per atom
excess energy over the best structure of this formula in the dataset: 3.31 eV per formula unit
density of states at the Fermi level: 5.6 states/eV/f.u.
V: 23.5 Å³ per atom

abc: 4.8975 4.8975 4.8975
angles: 90.00 90.00 90.00
Closest atoms and distances in Å follow each position.
Space group Pm-3m (No. 221)
Unique sites:
Ti 0.0000 0.0000 0.0000 (multiplicity 1)  6 Se 2.45
Pd 0.5000 0.5000 0.5000 (multiplicity 1)  12 Se 3.46
Se 0.0000 0.0000 0.5000 (multiplicity 3)  2 Ti 2.45

[15]
Density functional theory data (PBE) for crystalline Sr3PrMg4 at its relaxed geometry.

## Properties
crystal system: tetragonal
total energy: -2.09 eV per atom
formation energy: -0.062 eV per atom
density of states at the Fermi level: 8.3 states/eV/f.u.
V: 34.7 Å³ per atom

abc: 4.0711 4.0711 16.7568
angles: 90.00 90.00 90.00
Closest atoms and distances in Å follow each position.
Space group P4/mmm (No. 123)
Unique sites:
Sr 0.0000 0.0000 0.0000 (multiplicity 1)  8 Mg 3.61
Sr 0.0000 0.0000 0.2596 (multiplicity 2)  8 Mg 3.61-3.63, 1 Pr 4.03
Pr 0.0000 0.0000 0.5000 (multiplicity 1)  8 Mg 3.40
Mg 0.5000 0.5000 0.1300 (multiplicity 2)  8 Sr 3.61
Mg 0.5000 0.5000 0.3917 (multiplicity 2)  4 Pr 3.40, 4 Sr 3.63, 1 Mg 3.63

[16]
Density functional theory data (PBE) for crystalline Y3ZnMo at its relaxed geometry.

## Properties
crystal system: cubic
total energy: -5.79 eV per atom
excess energy over the best structure of this formula in the dataset: 0.00 eV per formula unit
formation energy: 0.512 eV per atom
density of states at the Fermi level: 7.2 states/eV/f.u.
V: 30.7 Å³ per atom

abc: 5.3561 5.3561 5.3561
angles: 90.00 90.00 90.00
Closest atoms and distances in Å follow each position.
Space group Pm-3m (No. 221)
Unique sites:
Y 0.0000 0.0000 0.5000 (multiplicity 3)  2 Mo 2.68
Zn 0.5000 0.5000 0.5000 (multiplicity 1)  12 Y 3.79
Mo 0.0000 0.0000 0.0000 (multiplicity 1)  6 Y 2.68